1.
VASP calculation (PBE) on crystalline Ti2Be6Nb at its relaxed geometry.

Calculated values
ΔH_f (0 K) ... -166.5 meV/atom
DFT total energy ... -49.715 eV/cell
Crystal system ... hexagonal
Mass density ... 3.883 Mg/m³
Space-group type ... P6/mmm

The structure in POSCAR format:
```
Ti2Be6Nb
1.0
-2.764 -0.439 -0.911
0.174 -5.937 2.332
-1.980 4.819 3.685
Ti Be Nb
2 6 1
direct
0.000 0.667 0.333
0.000 0.333 0.667
0.500 0.666 0.000
0.500 0.000 0.666
0.500 0.666 0.666
0.500 0.334 0.000
0.500 0.000 0.334
0.500 0.334 0.334
0.000 0.000 0.000
```

2.
VASP calculation (PBE) on crystalline YAuCl2 at its relaxed geometry.

Calculated values
Excess energy over the best structure of this formula in the dataset ... 176 meV/atom
Energy relative to the elements, uncorrected ... -1278 meV/atom
DFT total energy ... -18.548 eV/cell
Crystal system ... orthorhombic
Mass density ... 4.900 Mg/m³
Space-group type ... Imm2

The structure in POSCAR format:
```
YAuCl2
1.0
7.554 0.204 -0.006
4.958 5.703 0.006
-5.831 -3.855 2.872
Au Cl Y
1 2 1
direct
0.343 0.843 0.500
0.001 0.001 0.000
0.652 0.152 0.500
0.505 0.505 0.000
```

3.
VASP calculation (PBE) on crystalline Tb2Pm3 at its relaxed geometry.

Calculated values
ΔH_f (0 K) ... 144.1 meV/atom
DFT total energy ... -45.584 eV/cell
Crystal system ... orthorhombic
Mass density ... 7.440 Mg/m³
Space-group type ... Ibam

The structure in POSCAR format:
```
Tb2Pm3
1.0
-0.227 -3.018 5.518
6.458 -0.404 0.044
-2.691 8.933 1.186
Pm Tb
6 4
direct
0.250 0.000 0.000
0.097 0.701 0.194
0.903 0.299 0.806
0.403 0.507 0.806
0.597 0.493 0.194
0.750 0.000 0.000
0.693 0.059 0.386
0.807 0.673 0.614
0.193 0.327 0.386
0.307 0.941 0.614
```

Question: What is the DFT total energy in the third record?
Answer: -45.584 eV/cell